Record 1
Here is CaTmPdRu after structural relaxation from Alexandria via LeMat-Bulk. Energies are from PBE.

Structure (POSCAR):
```
CaTmPdRu
1.0
0.0000 3.4145 3.4145
3.4145 0.0000 3.4145
3.4145 3.4145 0.0000
Ca Tm Pd Ru
1 1 1 1
Direct
0.0000 0.0000 0.0000
0.5000 0.5000 0.5000
0.7500 0.7500 0.7500
0.2500 0.2500 0.2500
```

Properties
magnetization	0.0	μB/f.u.
calculated volume	19.91	Å³ per atom
D(E_F)	2.31	states/eV per cell

***

Record 2
Here is CaPd2RuW after structural relaxation from Alexandria via LeMat-Bulk. Energies are from PBE.

Structure (POSCAR):
```
CaPd2RuW
1.0
4.6657 0.0000 0.0000
0.0000 4.6657 0.0000
0.0000 0.0000 4.6958
Ca Pd Ru W
1 2 1 1
Direct
0.0000 0.0000 0.0000
0.0000 0.5000 0.0000
0.5000 0.0000 0.0000
0.0000 0.0000 0.5000
0.5000 0.5000 0.5000
```

Properties
magnetization	2.2	μB/f.u.
calculated volume	20.44	Å³ per atom
D(E_F)	4.65	states/eV per cell

***

Record 3
Here is CaYPdRu after structural relaxation from Alexandria via LeMat-Bulk. Energies are from PBE.

Structure (POSCAR):
```
CaYPdRu
1.0
0.0000 3.4497 3.4497
3.4497 0.0000 3.4497
3.4497 3.4497 0.0000
Ca Y Pd Ru
1 1 1 1
Direct
0.0000 0.0000 0.0000
0.5000 0.5000 0.5000
0.2500 0.2500 0.2500
0.7500 0.7500 0.7500
```

Properties
magnetization	0.0	μB/f.u.
calculated volume	20.53	Å³ per atom
D(E_F)	2.53	states/eV per cell

***

| no. | formation energy from the elements (eV/atom) | final energy (eV per atom) |
| --- | --- | --- |
| 1 | -0.39 | -5.63 |
| 2 | 1.89 | -5.03 |
| 3 | -0.34 | -6.08 |